# 1
The following is a DFT calculation (PBE-GGA) of Pr2Be4Ge3Pd after structural relaxation.

The calculation puts the density at 6.56 g cm⁻³. For the formation energy from the elements, the calculation gives -487 meV per atom. Its total energy is -48.376 eV per formula unit. The total moment is 0.00 μB/f.u.

POSCAR file:
```
Pr2Be4Ge3Pd
1.0
-0.491 -2.414 3.208
3.874 -1.131 -0.259
2.583 7.469 6.015
Pr Be Ge Pd
2 4 3 1
direct
0.500 0.000 0.245
0.000 0.500 0.755
0.500 0.500 0.000
0.000 0.000 0.000
0.500 0.000 0.628
0.000 0.500 0.372
0.000 0.000 0.500
0.500 0.000 0.869
0.000 0.500 0.131
0.500 0.500 0.500
```



# 2
The following is a DFT calculation (PBE-GGA) of Pr2Be3Ge4Pd after structural relaxation.

The calculation puts the density at 6.78 g cm⁻³. For the formation energy from the elements, the calculation gives -488 meV per atom. Its total energy is -49.277 eV per formula unit. The total moment is 0.00 μB/f.u.

POSCAR file:
```
Pr2Be3Ge4Pd
1.0
4.144 0.000 0.000
0.000 4.144 0.000
0.000 0.000 10.073
Pr Be Ge Pd
2 3 4 1
direct
0.500 0.000 0.249
0.000 0.500 0.751
0.000 0.000 0.500
0.500 0.000 0.870
0.000 0.500 0.130
0.500 0.500 0.000
0.000 0.000 0.000
0.500 0.000 0.641
0.000 0.500 0.359
0.500 0.500 0.500
```



# 3
The following is a DFT calculation (PBE-GGA) of Pr3BeGe6Pd2 after structural relaxation.

The calculation puts the density at 7.05 g cm⁻³. For the formation energy from the elements, the calculation gives -360 meV per atom. Its total energy is -60.478 eV per formula unit. The total moment is 0.00 μB/f.u.

POSCAR file:
```
Pr3BeGe6Pd2
1.0
5.950 0.000 0.000
-2.975 5.153 0.000
0.000 0.000 8.301
Pr Be Ge Pd
3 1 6 2
direct
0.333 0.667 0.630
0.667 0.333 0.370
0.000 0.000 0.000
0.000 0.000 0.500
0.632 0.816 0.292
0.184 0.368 0.292
0.184 0.816 0.292
0.816 0.632 0.708
0.368 0.184 0.708
0.816 0.184 0.708
0.667 0.333 0.963
0.333 0.667 0.037
```



# 4
The following is a DFT calculation (PBE-GGA) of Pr3Be2GePd9 after structural relaxation.

The calculation puts the density at 8.76 g cm⁻³. For the formation energy from the elements, the calculation gives -642 meV per atom. Its total energy is -82.770 eV per formula unit. The total moment is 0.00 μB/f.u.

POSCAR file:
```
Pr3Be2GePd9
1.0
-5.438 0.061 2.500
4.366 -3.307 2.413
2.438 6.963 5.133
Pr Be Ge Pd
3 2 1 9
direct
0.333 0.667 0.648
0.000 0.000 0.000
0.667 0.333 0.352
0.333 0.667 0.150
0.667 0.333 0.850
0.000 0.000 0.500
0.836 0.164 0.706
0.836 0.672 0.706
0.328 0.164 0.706
0.672 0.836 0.294
0.164 0.328 0.294
0.164 0.836 0.294
0.500 0.000 0.000
0.000 0.500 0.000
0.500 0.500 0.000
```



# 5
The following is a DFT calculation (PBE-GGA) of Pr2BeGePd6 after structural relaxation.

The calculation puts the density at 8.78 g cm⁻³. For the formation energy from the elements, the calculation gives -653 meV per atom. Its total energy is -55.590 eV per formula unit. The total moment is 0.00 μB/f.u.

POSCAR file:
```
Pr2BeGePd6
1.0
5.973 0.057 -0.116
0.052 6.973 -0.882
2.921 2.945 4.123
Pr Be Ge Pd
2 1 1 6
direct
0.741 0.184 0.537
0.259 0.816 0.463
0.500 0.500 0.000
0.000 0.000 0.000
0.275 0.293 0.473
0.725 0.706 0.043
0.183 0.669 0.075
0.817 0.331 0.925
0.275 0.294 0.957
0.725 0.707 0.527
```



# 6
The following is a DFT calculation (PBE-GGA) of BeGe2PdPt after structural relaxation.

The calculation puts the density at 6.67 g cm⁻³. For the formation energy from the elements, the calculation gives 754 meV per atom. Its total energy is -20.423 eV per formula unit. The total moment is 0.00 μB/f.u.

POSCAR file:
```
BeGe2PdPt
1.0
-1.261 -4.215 1.511
2.704 0.776 4.421
-3.780 1.844 1.988
Be Ge Pd Pt
1 2 1 1
direct
0.500 0.500 0.500
0.000 0.000 0.500
0.500 0.000 0.000
0.000 0.500 0.000
0.000 0.000 0.000
```



# 7
The following is a DFT calculation (PBE-GGA) of Pu2BeGe4Pd3 after structural relaxation.

The calculation puts the density at 9.96 g cm⁻³. For the formation energy from the elements, the calculation gives -469 meV per atom. Its total energy is -71.130 eV per formula unit. The total moment is 10.58 μB/f.u.

POSCAR file:
```
Pu2BeGe4Pd3
1.0
-1.395 0.270 -3.914
-1.693 -3.789 0.342
-9.043 4.360 3.523
Pu Be Ge Pd
2 1 4 3
direct
0.500 0.000 0.260
0.000 0.500 0.740
0.500 0.500 0.500
0.500 0.500 0.000
0.000 0.000 0.000
0.500 0.000 0.629
0.000 0.500 0.371
0.000 0.000 0.500
0.500 0.000 0.862
0.000 0.500 0.138
```



# 8
The following is a DFT calculation (PBE-GGA) of Pu2Be3Ge4Pd after structural relaxation.

The calculation puts the density at 9.25 g cm⁻³. For the formation energy from the elements, the calculation gives -333 meV per atom. Its total energy is -66.838 eV per formula unit. The total moment is 10.59 μB/f.u.

POSCAR file:
```
Pu2Be3Ge4Pd
1.0
4.075 0.000 0.000
0.000 4.075 0.000
0.000 0.000 9.862
Pu Be Ge Pd
2 3 4 1
direct
0.500 0.000 0.240
0.000 0.500 0.760
0.000 0.000 0.500
0.500 0.000 0.873
0.000 0.500 0.127
0.500 0.500 0.000
0.000 0.000 0.000
0.500 0.000 0.645
0.000 0.500 0.355
0.500 0.500 0.500
```



# 9
The following is a DFT calculation (PBE-GGA) of Pu2Be4Ge3Pd after structural relaxation.

The calculation puts the density at 9.14 g cm⁻³. For the formation energy from the elements, the calculation gives -331 meV per atom. Its total energy is -65.927 eV per formula unit. The total moment is 10.96 μB/f.u.

POSCAR file:
```
Pu2Be4Ge3Pd
1.0
4.001 0.000 0.000
0.000 4.001 0.000
0.000 0.000 9.626
Pu Be Ge Pd
2 4 3 1
direct
0.500 0.000 0.245
0.000 0.500 0.755
0.500 0.500 0.000
0.000 0.000 0.000
0.500 0.000 0.630
0.000 0.500 0.370
0.000 0.000 0.500
0.500 0.000 0.868
0.000 0.500 0.132
0.500 0.500 0.500
```



# 10
The following is a DFT calculation (PBE-GGA) of Pu2BeGePd6 after structural relaxation.

The calculation puts the density at 10.87 g cm⁻³. For the formation energy from the elements, the calculation gives -433 meV per atom. Its total energy is -72.490 eV per formula unit. The total moment is 10.82 μB/f.u.

POSCAR file:
```
Pu2BeGePd6
1.0
-3.796 -1.090 -4.178
0.083 -7.103 1.780
-5.158 -2.570 1.402
Pu Be Ge Pd
2 1 1 6
direct
0.788 0.328 0.424
0.212 0.672 0.576
0.000 0.000 0.000
0.500 0.500 0.000
0.246 0.152 0.509
0.742 0.785 0.003
0.254 0.784 0.004
0.746 0.216 0.996
0.258 0.215 0.997
0.754 0.848 0.491
```



# 11
The following is a DFT calculation (PBE-GGA) of RbBeGePd2 after structural relaxation.

The calculation puts the density at 5.86 g cm⁻³. For the formation energy from the elements, the calculation gives 586 meV per atom. Its total energy is -16.769 eV per formula unit. The total moment is 0.00 μB/f.u.

POSCAR file:
```
RbBeGePd2
1.0
-0.325 4.416 0.504
-5.310 -0.504 0.990
0.853 -0.434 4.353
Be Ge Rb Pd
1 1 1 2
direct
0.000 0.000 0.000
0.500 0.500 0.500
0.000 0.500 0.000
0.000 0.000 0.500
0.500 0.000 0.000
```



# 12
The following is a DFT calculation (PBE-GGA) of Sc2Be2GePd5 after structural relaxation.

The calculation puts the density at 7.95 g cm⁻³. For the formation energy from the elements, the calculation gives -719 meV per atom. Its total energy is -57.883 eV per formula unit. The total moment is 0.00 μB/f.u.

POSCAR file:
```
Sc2Be2GePd5
1.0
-1.787 1.683 -2.343
-1.728 -8.048 -4.463
-7.770 -1.157 5.095
Sc Be Ge Pd
4 4 2 10
direct
0.000 0.676 0.176
0.000 0.324 0.824
0.000 0.176 0.324
0.000 0.824 0.676
0.000 0.121 0.621
0.000 0.879 0.379
0.000 0.621 0.879
0.000 0.379 0.121
0.000 0.000 0.000
0.000 0.500 0.500
0.500 0.211 0.071
0.500 0.789 0.929
0.500 0.071 0.789
0.500 0.711 0.429
0.500 0.929 0.211
0.500 0.289 0.571
0.500 0.571 0.711
0.500 0.429 0.289
0.500 0.500 0.000
0.500 0.000 0.500
```